The following is a DFT calculation (PBE with a Hubbard U) of a relaxed MnCr2InO6 crystal.

Unit cell a=5.2011 b=5.2120 c=5.5144 alpha=62.00 beta=63.28 gamma=61.25
Last column: nearest neighbours and their distance in Å.
Space group P1 (No. 1)
One atom of each set of equivalent atoms:
Mn 0.0000 0.0000 0.0000 x1  6 O 1.99-2.22
Cr 0.2021 0.2063 0.3900 x1  6 O 1.99-2.11
Cr 0.6942 0.6992 0.9064 x1  6 O 1.99-2.10
In 0.4902 0.4882 0.5335 x1  6 O 2.08-2.33
O 0.0683 0.4010 0.7074 x1  1 Mn 2.03, 2 Cr 2.04-2.11, 1 In 2.14
O 0.2997 0.9261 0.1768 x1  1 Mn 1.99, 2 Cr 2.03-2.10
O 0.4231 0.8282 0.6750 x1  2 Cr 1.99-2.05, 1 In 2.08, 1 Mn 2.22
O 0.5783 0.3211 0.1870 x1  2 Cr 1.99-2.02, 1 Mn 2.17
O 0.8295 0.0703 0.6979 x1  2 Cr 2.01-2.09, 1 Mn 2.03, 1 In 2.14
O 0.9210 0.6008 0.1829 x1  1 Mn 2.00, 2 Cr 2.02-2.07

Output
**Final energy**: -7.22 eV/atom
**Crystal system**: triclinic